A plane-wave DFT calculation with GGA-PBE was carried out for a relaxed structure of SrIr2Pt.

Results
* DFT total energy: -6.316 eV/atom
* SG: Pmm2

Cell and atoms, written as POSCAR:
```
SrIr2Pt
1.0
-1.208 2.565 0.350
0.323 -0.359 3.740
6.448 3.073 -0.263
Ir Pt Sr
2 1 1
Cartesian
0.470 0.224 -0.019
1.001 1.790 1.987
2.935 1.399 -0.120
4.382 3.402 1.849
```

=====

A plane-wave DFT calculation with GGA-PBE was carried out for a relaxed structure of SrIr2Pt.

Results
* DFT total energy: -6.099 eV/atom
* SG: Cmmm

Cell and atoms, written as POSCAR:
```
SrIr2Pt
1.0
-4.352 -2.598 -0.707
3.919 -3.213 0.715
-0.485 0.040 2.835
Ir Pt Sr
2 1 1
Cartesian
0.000 0.000 0.000
-0.216 -2.906 0.004
-2.418 -1.279 1.064
1.717 -1.586 1.775
```

=====

A plane-wave DFT calculation with GGA-PBE was carried out for a relaxed structure of SrIrPt3.

Results
* DFT total energy: -5.448 eV/atom
* SG: Pm-3m

Cell and atoms, written as POSCAR:
```
SrIrPt3
1.0
4.939 0.000 0.000
0.000 4.939 0.000
0.000 0.000 4.939
Sr Ir Pt
1 1 3
Cartesian
2.469 2.469 2.469
0.000 0.000 0.000
0.000 2.469 0.000
0.000 0.000 2.469
2.469 0.000 0.000
```

=====

A plane-wave DFT calculation with GGA-PBE was carried out for a relaxed structure of Sr6IrPt.

Results
* DFT total energy: -3.483 eV/atom
* SG: P-31c

Cell and atoms, written as POSCAR:
```
Sr6IrPt
1.0
-3.773 -1.181 -6.207
6.724 -2.875 0.822
-5.688 -11.682 5.680
Sr Ir Pt
12 2 2
Cartesian
-1.143 -5.737 0.415
-1.594 -10.000 -0.120
2.382 -6.366 2.652
4.759 -4.665 -0.488
-5.119 -9.372 -2.357
-7.495 -11.072 0.783
1.998 -8.051 -1.200
1.492 -2.391 0.919
-4.734 -7.686 1.495
-4.229 -13.347 -0.625
1.332 -4.172 -2.905
-4.069 -11.565 3.200
-2.844 -5.841 2.840
0.000 0.000 0.000
1.803 -5.230 -0.101
-4.540 -10.507 0.396
```

=====

A plane-wave DFT calculation with GGA-PBE was carried out for a relaxed structure of Sr2Ir2Pt.

Results
* DFT total energy: -5.384 eV/atom
* SG: I4/mmm

Cell and atoms, written as POSCAR:
```
Sr2Ir2Pt
1.0
-0.651 5.746 -1.540
0.268 -1.519 -5.782
-3.837 1.686 -3.717
Sr Ir Pt
2 2 1
Cartesian
-2.340 4.773 -4.459
-1.881 1.140 -6.580
-1.377 1.975 -3.679
-2.844 3.938 -7.360
0.000 0.000 0.000
```

=====

A plane-wave DFT calculation with GGA-PBE was carried out for a relaxed structure of SrIr2Pt.

Results
* DFT total energy: -6.050 eV/atom
* SG: Imm2

Cell and atoms, written as POSCAR:
```
SrIr2Pt
1.0
-3.991 -3.067 -1.418
1.629 -3.601 -3.423
1.256 1.557 4.831
Ir Pt Sr
2 1 1
Cartesian
-2.287 -6.458 -4.689
-1.990 -2.513 0.430
-1.236 -3.489 -2.534
0.865 -2.651 -0.479
```

=====

A plane-wave DFT calculation with GGA-PBE was carried out for a relaxed structure of SrIr2Pt.

Results
* DFT total energy: -6.258 eV/atom
* SG: Cm

Cell and atoms, written as POSCAR:
```
SrIr2Pt
1.0
-2.357 -3.835 -1.423
-0.330 -3.270 -3.389
3.655 -4.339 2.519
Ir Pt Sr
2 1 1
Cartesian
-2.317 -7.447 -4.530
0.092 -2.711 -0.684
0.266 -5.571 -1.328
0.724 -8.542 -1.711
```

=====

A plane-wave DFT calculation with GGA-PBE was carried out for a relaxed structure of SrIr2Pt.

Results
* DFT total energy: -6.133 eV/atom
* SG: P4/mmm

Cell and atoms, written as POSCAR:
```
SrIr2Pt
1.0
4.117 0.000 0.000
0.000 4.117 0.000
0.000 0.000 4.246
Ir Pt Sr
2 1 1
Cartesian
0.000 0.000 0.000
2.058 2.058 0.000
2.058 0.000 2.123
0.000 2.058 2.123
```

=====

A plane-wave DFT calculation with GGA-PBE was carried out for a relaxed structure of SrIr2Pt.

Results
* DFT total energy: -5.775 eV/atom
* SG: R-3m

Cell and atoms, written as POSCAR:
```
SrIr2Pt
1.0
-0.760 -6.252 7.475
2.124 -6.392 7.083
0.979 -4.280 8.733
Ir Pt Sr
2 1 1
Cartesian
2.323 -16.781 23.094
1.191 -8.604 11.842
0.586 -4.231 5.823
1.757 -12.693 17.468
```

=====

A plane-wave DFT calculation with GGA-PBE was carried out for a relaxed structure of SrIr2Pt.

Results
* DFT total energy: -6.271 eV/atom
* SG: I-42d

Cell and atoms, written as POSCAR:
```
SrIr2Pt
1.0
-4.167 1.868 0.792
-1.311 -3.859 2.206
0.313 2.471 9.377
Sr Ir Pt
2 4 2
Cartesian
-2.739 -0.995 1.499
-1.868 -1.192 6.541
-3.403 1.623 3.251
-4.715 -0.012 4.479
-1.595 1.767 7.780
-3.472 3.309 7.828
0.000 0.000 0.000
-3.296 1.672 5.834
```

=====

A plane-wave DFT calculation with GGA-PBE was carried out for a relaxed structure of SrIr2Pt.

Results
* DFT total energy: -6.285 eV/atom
* SG: Pm

Cell and atoms, written as POSCAR:
```
SrIr2Pt
1.0
4.185 0.000 0.000
0.000 2.851 0.031
0.000 1.345 6.567
Ir Pt Sr
2 1 1
Cartesian
0.000 0.170 0.590
2.092 1.586 1.364
0.000 1.566 3.058
2.092 2.971 4.886
```

=====

A plane-wave DFT calculation with GGA-PBE was carried out for a relaxed structure of SrIr2Pt.

Results
* DFT total energy: -6.201 eV/atom
* SG: P2/m

Cell and atoms, written as POSCAR:
```
SrIr2Pt
1.0
-2.187 -0.188 1.870
-0.158 -4.980 -0.685
3.043 -4.008 3.157
Ir Pt Sr
2 1 1
Cartesian
0.000 0.000 0.000
-1.172 -2.584 0.593
0.349 -4.588 2.171
1.521 -2.004 1.578
```

=====

| no. | density of states at the Fermi level (states/eV/cell) |
| --- | --- |
| 1 | 4.4 |
| 2 | 3.9 |
| 3 | 6.9 |
| 4 | 10.9 |
| 5 | 4.2 |
| 6 | 4.7 |
| 7 | 3.0 |
| 8 | 3.2 |
| 9 | 6.6 |
| 10 | 9.5 |
| 11 | 4.3 |
| 12 | 3.4 |